! La14ThCd, optimized geometry, DFT PBE; values from VASP
&SYSTEM
  ibrav = 0, nat = 16, ntyp = 3
/
ATOMIC_SPECIES
La 138.91 La.upf
Th 232.04 Th.upf
Cd 112.41 Cd.upf
CELL_PARAMETERS angstrom
7.3291 0.0000 0.0000
0.0000 7.3291 0.0000
0.0000 0.0000 10.4379
ATOMIC_POSITIONS angstrom
La 0.0000 0.0000 0.0000
La 0.0000 3.6645 0.0000
La 0.0000 3.6645 5.2190
La 1.8203 1.8203 2.6816
La 1.8203 1.8203 7.7563
La 1.8203 5.5087 2.6816
La 1.8203 5.5087 7.7563
La 3.6645 0.0000 0.0000
La 3.6645 0.0000 5.2190
La 3.6645 3.6645 0.0000
La 5.5087 1.8203 2.6816
La 5.5087 1.8203 7.7563
La 5.5087 5.5087 2.6816
La 5.5087 5.5087 7.7563
Th 3.6645 3.6645 5.2190
Cd 0.0000 0.0000 5.2190
! crystal system: tetragonal
! energy: -4.86 eV/atom
! space group: P4/mmm, No. 123
! magnetic moment: 0.00 Bohr magnetons per cell
! DOS(E_F): 20.8 states/eV per cell

=====

! Nd3I3N, optimized geometry, DFT PBE; values from VASP
&SYSTEM
  ibrav = 0, nat = 14, ntyp = 3
/
ATOMIC_SPECIES
Nd 144.24 Nd.upf
I 126.90 I.upf
N 14.01 N.upf
CELL_PARAMETERS angstrom
8.9024 0.0000 0.0000
0.0000 3.9798 0.0000
-0.4680 0.0000 12.2062
ATOMIC_POSITIONS angstrom
Nd 0.5440 0.9949 4.9299
Nd 0.6334 0.9949 9.8800
Nd 2.3514 2.9848 7.5049
Nd 6.0830 0.9949 4.7012
Nd 7.8011 2.9848 2.3261
Nd 7.8904 2.9848 7.2763
I 1.2357 0.9949 1.5645
I 2.9566 2.9848 10.6331
I 3.2546 2.9848 4.4584
I 5.1799 0.9949 7.7477
I 5.4779 0.9949 1.5731
I 7.1988 2.9848 10.6416
N 0.7080 0.9949 7.4438
N 7.7264 2.9848 4.7623
! crystal system: monoclinic
! energy: -5.17 eV/atom
! space group: P2_1/m, No. 11
! magnetic moment: 0.00 Bohr magnetons per cell
! DOS(E_F): 4.1 states/eV per cell
! energy relative to the elements, uncorrected: -1.271 eV/atom

=====

! Li2AsAu, optimized geometry, DFT PBE; values from VASP
&SYSTEM
  ibrav = 0, nat = 4, ntyp = 3
/
ATOMIC_SPECIES
Li 6.94 Li.upf
As 74.92 As.upf
Au 196.97 Au.upf
CELL_PARAMETERS angstrom
3.2814 0.0000 0.0000
0.0000 3.2814 0.0000
0.0000 0.0000 6.0717
ATOMIC_POSITIONS angstrom
Li 0.0000 0.0000 0.0000
Li 1.6407 1.6407 1.5964
As 0.0000 0.0000 3.0010
Au 1.6407 1.6407 4.8641
! crystal system: tetragonal
! energy: -3.23 eV/atom
! space group: P4mm, No. 99
! magnetic moment: 0.00 Bohr magnetons per cell
! DOS(E_F): 1.5 states/eV per cell

=====

! CsK2InF, optimized geometry, DFT PBE; values from VASP
&SYSTEM
  ibrav = 0, nat = 5, ntyp = 4
/
ATOMIC_SPECIES
Cs 132.91 Cs.upf
K 39.10 K.upf
In 114.82 In.upf
F 19.00 F.upf
CELL_PARAMETERS angstrom
5.5575 0.0000 0.0000
0.0000 5.5575 0.0000
0.0000 0.0000 6.1745
ATOMIC_POSITIONS angstrom
Cs 0.0000 0.0000 0.0000
K 0.0000 2.7787 3.0872
K 2.7787 0.0000 3.0872
In 2.7787 2.7787 0.0000
F 0.0000 0.0000 3.0872
! crystal system: tetragonal
! energy: -2.52 eV/atom
! space group: P4/mmm, No. 123
! magnetic moment: 0.00 Bohr magnetons per cell
! DOS(E_F): 3.1 states/eV per cell
! energy relative to the elements, uncorrected: -0.989 eV/atom

=====

Question: What is the formula in the second record?
Answer: Nd3I3N

=====

Please write out number 3 again, unchanged.
! Li2AsAu, optimized geometry, DFT PBE; values from VASP
&SYSTEM
  ibrav = 0, nat = 4, ntyp = 3
/
ATOMIC_SPECIES
Li 6.94 Li.upf
As 74.92 As.upf
Au 196.97 Au.upf
CELL_PARAMETERS angstrom
3.2814 0.0000 0.0000
0.0000 3.2814 0.0000
0.0000 0.0000 6.0717
ATOMIC_POSITIONS angstrom
Li 0.0000 0.0000 0.0000
Li 1.6407 1.6407 1.5964
As 0.0000 0.0000 3.0010
Au 1.6407 1.6407 4.8641
! crystal system: tetragonal
! energy: -3.23 eV/atom
! space group: P4mm, No. 99
! magnetic moment: 0.00 Bohr magnetons per cell
! DOS(E_F): 1.5 states/eV per cell